No. 1
! BaZr2Pt, relaxed, DFT GGA-PBE; values from VASP
&SYSTEM
  ibrav = 0, nat = 4, ntyp = 3
/
ATOMIC_SPECIES
Zr 91.22 Zr.upf
Ba 137.33 Ba.upf
Pt 195.08 Pt.upf
ATOMIC_POSITIONS crystal
Zr 0.250 0.250 0.250
Zr 0.750 0.750 0.750
Ba 0.000 0.000 0.000
Pt 0.500 0.500 0.500
CELL_PARAMETERS angstrom
-0.942 1.070 4.804
-1.215 4.674 1.334
-4.675 1.053 1.462
! density of states at the Fermi level	3.548	states/eV/cell
! energy	-6.150	eV/atom
! energy above the lowest structure with this stoichiometry	401.7	meV/atom
! spin magnetization	0.0	μB/cell

---

No. 2
! CeLuInSn, relaxed, DFT GGA-PBE; values from VASP
&SYSTEM
  ibrav = 0, nat = 4, ntyp = 4
/
ATOMIC_SPECIES
Lu 174.97 Lu.upf
Sn 118.71 Sn.upf
Ce 140.12 Ce.upf
In 114.82 In.upf
ATOMIC_POSITIONS crystal
Lu 0.000 0.000 0.000
Sn 0.250 0.250 0.250
Ce 0.500 0.500 0.500
In 0.750 0.750 0.750
CELL_PARAMETERS angstrom
5.349 0.000 0.000
2.674 4.632 0.000
2.674 1.544 4.367
! density of states at the Fermi level	7.867	states/eV/cell
! energy	-4.740	eV/atom
! spin magnetization	0.9	μB/cell

---

No. 3
! PtPbOF2, relaxed, DFT GGA-PBE; values from VASP
&SYSTEM
  ibrav = 0, nat = 5, ntyp = 4
/
ATOMIC_SPECIES
Pb 207.20 Pb.upf
O 16.00 O.upf
Pt 195.08 Pt.upf
F 19.00 F.upf
ATOMIC_POSITIONS crystal
Pb 0.000 0.000 0.000
O 0.000 0.000 0.500
Pt 0.500 0.500 0.500
F 0.000 0.500 0.000
F 0.500 0.000 0.000
CELL_PARAMETERS angstrom
4.539 0.000 0.000
0.000 4.539 0.000
0.000 0.000 4.300
! density of states at the Fermi level	4.268	states/eV/cell
! formation energy without anion corrections	-0.375	eV per atom
! energy	-4.065	eV/atom
! energy above the lowest structure with this stoichiometry	473.2	meV/atom
! spin magnetization	0.8	μB/cell

---

No. 4
! CdAg2Pd, relaxed, DFT GGA-PBE; values from VASP
&SYSTEM
  ibrav = 0, nat = 4, ntyp = 3
/
ATOMIC_SPECIES
Pd 106.42 Pd.upf
Ag 107.87 Ag.upf
Cd 112.41 Cd.upf
ATOMIC_POSITIONS crystal
Pd 0.500 0.500 0.000
Ag 0.000 0.000 0.761
Ag 0.000 0.000 0.239
Cd 0.500 0.500 0.500
CELL_PARAMETERS angstrom
-0.126 -2.188 2.616
3.074 -1.207 -0.861
2.663 4.190 3.634
! density of states at the Fermi level	1.780	states/eV/cell
! energy	-3.011	eV/atom
! spin magnetization	0.0	μB/cell

---

Number 1 is which compound? BaZr2Pt